Entry 1:
Material: BeTlNi2
Method: DFT, PBE-GGA
State: relaxed

## Properties
Its space group is I-42d, No. 122. The value obtained for the energy above the lowest structure with this stoichiometry is 1.521 eV/f.u. The formation energy comes out at 475 meV per atom. The calculation puts the total magnetization at 0.00 μB/atom.

```
BeTlNi2
1.0
4.156 0.000 0.000
0.000 4.156 0.000
2.078 2.078 7.511
Ni Be Tl
4 2 2
Direct
0.875 0.739 0.750 Ni
0.375 0.511 0.750 Ni
0.489 0.125 0.250 Ni
0.261 0.625 0.250 Ni
0.500 0.500 0.000 Be
0.250 0.750 0.500 Be
0.750 0.250 0.500 Tl
0.000 0.000 0.000 Tl
```

=====

Entry 2:
Material: Sc8GeSe4S3
Method: DFT, PBE-GGA
State: relaxed

## Properties
Its space group is R-3m, No. 166. The calculation puts the total magnetization at 0.00 μB/atom. The raw formation energy is -1.638 eV per atom.

```
Sc8GeSe4S3
1.0
-6.460 1.988 3.443
1.676 -4.678 5.845
4.980 5.326 -2.087
Sc S Ge Se
8 3 1 4
Direct
0.260 0.280 0.520 Sc
0.740 0.728 0.984 Sc
0.244 0.728 0.984 Sc
0.756 0.272 0.016 Sc
0.740 0.720 0.480 Sc
0.756 0.272 0.512 Sc
0.244 0.728 0.488 Sc
0.260 0.272 0.016 Sc
0.500 0.500 0.500 S
0.500 0.500 0.000 S
0.000 0.500 0.500 S
0.000 0.500 0.000 Ge
0.000 0.000 0.500 Se
0.500 0.000 0.000 Se
0.000 0.000 0.000 Se
0.500 0.000 0.500 Se
```

=====

Entry 3:
Material: TiTcGe2
Method: DFT, PBE-GGA
State: relaxed

## Properties
Its space group is R3m, No. 160. The value obtained for the energy above the lowest structure with this stoichiometry is 0.247 eV/f.u. The formation energy comes out at -182 meV per atom. The calculation puts the total magnetization at 0.00 μB/atom.

```
TiTcGe2
1.0
3.614 0.000 0.000
1.807 3.130 0.000
1.807 1.043 5.994
Tc Ge Ti
1 2 1
Direct
0.496 0.496 0.511 Tc
0.086 0.086 0.741 Ge
0.247 0.247 0.260 Ge
0.671 0.671 0.987 Ti
```

=====

Entry 4:
Material: ScCuAsH
Method: DFT, PBE-GGA
State: relaxed

## Properties
Its space group is P4/nmm, No. 129. The calculation puts the total magnetization at 0.00 μB/atom. As for the uncorrected energy: -5.23 eV per atom.

```
ScCuAsH
1.0
-0.733 -3.260 -1.546
3.608 -0.646 -0.349
0.080 -3.343 7.010
Cu As Sc H
2 2 2 2
Direct
0.000 0.000 0.500 Cu
0.500 0.500 0.500 Cu
0.000 0.500 0.283 As
0.500 0.000 0.717 As
0.500 0.000 0.153 Sc
0.000 0.500 0.847 Sc
0.500 0.500 0.000 H
0.000 0.000 0.000 H
```

=====

Entry 5:
Material: LiCr3Tc
Method: DFT, PBE-GGA
State: relaxed

## Properties
Its space group is Pm-3m, No. 221. The value obtained for the energy above the lowest structure with this stoichiometry is 0.000 eV/f.u. The formation energy comes out at 1154 meV per atom. The calculation puts the total magnetization at 1.80 μB/atom.

```
LiCr3Tc
1.0
-4.393 0.947 1.359
1.127 -1.114 4.420
1.213 4.462 0.815
Li Cr Tc
1 3 1
Direct
0.500 0.500 0.500 Li
0.000 0.500 0.000 Cr
0.000 0.000 0.500 Cr
0.500 0.000 0.000 Cr
0.000 0.000 0.000 Tc
```